A relaxed BaLa crystal, computed with GGA-PBE.

Geometry as POSCAR:
```
BaLa
1.0
-0.115 0.545 6.841
3.082 -5.584 2.535
2.098 4.454 -4.782
La Ba
2 2
Direct
0.750 0.250 0.500
0.500 0.500 0.000
0.000 0.000 0.000
0.250 0.750 0.500
```

density: 5008 kg/m3
volume: 45.8 Å³/atom
offset from the most stable computed form: 118 meV/atom
E: -12.84 eV/cell


A relaxed SbPb2Au6 crystal, computed with GGA-PBE.

Geometry as POSCAR:
```
SbPb2Au6
1.0
6.420 0.000 0.000
-3.210 5.034 1.185
0.000 0.184 6.387
Au Sb Pb
6 1 2
Direct
0.126 0.252 0.332
0.874 0.748 0.668
0.851 0.263 0.679
0.588 0.737 0.321
0.149 0.737 0.321
0.412 0.263 0.679
0.000 0.000 0.000
0.648 0.296 0.158
0.352 0.704 0.842
```

density: 13916 kg/m3
volume: 22.8 Å³/atom
E: -31.39 eV/cell


A relaxed EuErS crystal, computed with GGA-PBE.

Geometry as POSCAR:
```
EuErS
1.0
-5.881 -2.689 1.335
-0.626 -0.502 -3.767
1.729 -2.764 2.050
S Er Eu
1 1 1
Direct
0.988 0.000 0.000
0.748 0.667 0.333
0.265 0.333 0.667
```

density: 6877 kg/m3
volume: 28.3 Å³/atom
E: -22.66 eV/cell


A relaxed ZnPt2Cl crystal, computed with GGA-PBE.

Geometry as POSCAR:
```
ZnPt2Cl
1.0
8.782 0.018 0.011
8.261 2.979 0.011
8.261 1.453 2.601
Cl Zn Pt
1 1 2
Direct
0.767 0.767 0.767
0.499 0.499 0.499
0.241 0.241 0.241
0.993 0.993 0.993
```

density: 12102 kg/m3
volume: 16.8 Å³/atom
offset from the most stable computed form: 53 meV/atom
E: -15.33 eV/cell


A relaxed CdNiP2 crystal, computed with GGA-PBE.

Geometry as POSCAR:
```
CdNiP2
1.0
5.670 0.000 0.000
0.000 5.670 0.000
2.835 2.835 5.050
Cd P Ni
2 4 2
Direct
0.750 0.250 0.500
0.000 0.000 0.000
0.197 0.625 0.250
0.553 0.125 0.250
0.375 0.447 0.750
0.875 0.803 0.750
0.500 0.500 0.000
0.250 0.750 0.500
```

density: 4768 kg/m3
volume: 20.3 Å³/atom
E: -34.57 eV/cell


A relaxed Be5Au crystal, computed with GGA-PBE.

Geometry as POSCAR:
```
Be5Au
1.0
-1.171 -2.855 2.900
2.838 -1.038 -2.968
2.770 1.147 2.248
Be Au
5 1
Direct
0.726 0.393 0.000
0.941 0.000 0.000
0.333 0.607 0.000
0.000 0.333 0.500
0.667 0.667 0.500
0.333 0.000 0.500
```

density: 6904 kg/m3
volume: 9.7 Å³/atom
offset from the most stable computed form: 32 meV/atom
E: -22.30 eV/cell


A relaxed BaRhSe2 crystal, computed with GGA-PBE.

Geometry as POSCAR:
```
BaRhSe2
1.0
0.578 -1.120 4.990
-0.482 3.703 3.542
-4.080 0.045 3.137
Ba Se Rh
1 2 1
Direct
0.500 0.500 0.500
0.750 0.750 0.750
0.250 0.250 0.250
0.000 0.000 0.000
```

density: 6858 kg/m3
volume: 24.1 Å³/atom
offset from the most stable computed form: 543 meV/atom
E: -17.90 eV/cell


A relaxed MgPa2N4 crystal, computed with GGA-PBE.

Geometry as POSCAR:
```
MgPa2N4
1.0
5.544 0.000 0.000
0.000 5.979 0.000
0.000 0.000 11.743
Mg Pa N
4 8 16
Direct
0.000 0.500 0.000
0.000 0.000 0.500
0.500 0.000 0.000
0.500 0.500 0.500
0.490 0.091 0.356
0.990 0.091 0.144
0.990 0.409 0.644
0.510 0.591 0.144
0.510 0.909 0.644
0.010 0.909 0.856
0.010 0.591 0.356
0.490 0.409 0.856
0.149 0.076 0.691
0.851 0.576 0.809
0.828 0.827 0.040
0.172 0.173 0.960
0.649 0.424 0.309
0.649 0.076 0.809
0.351 0.576 0.691
0.172 0.327 0.460
0.672 0.173 0.540
0.328 0.673 0.960
0.351 0.924 0.191
0.828 0.673 0.540
0.149 0.424 0.191
0.672 0.327 0.040
0.328 0.827 0.460
0.851 0.924 0.309
```

density: 9257 kg/m3
volume: 13.9 Å³/atom
offset from the most stable computed form: 0 meV/atom
E: -255.03 eV/cell